No. 1
Density functional theory data (PBE) for an optimized crystal structure of K2YZr.

Results
- Space-group type: Pmmm, No. 47
- Theoretical density: 2.84 g/cm3
- Fermi-level density of states: 5.20 states/eV/cell
- E above lowest polymorph: 0.468 eV/atom
- V: 37.8 Å³ per atom
- ΔE_f: 0.858 eV per atom
- Electronic total energy: -3.4440 eV/atom

```
K2YZr
1.0
3.3168 0.0000 0.0000
0.0000 6.5721 0.0000
0.0000 0.0000 6.9284
K Y Zr
2 1 1
direct
0.0000 0.2433 0.0000
0.0000 0.7567 0.0000
0.5000 0.5000 0.5000
0.5000 0.0000 0.5000
```

---

No. 2
Density functional theory data (PBE) for an optimized crystal structure of MgSc8Sn2.

Results
- Space-group type: C2/m, No. 12
- Theoretical density: 3.89 g/cm3
- Fermi-level density of states: 15.65 states/eV/cell
- V: 24.1 Å³ per atom
- ΔE_f: -0.155 eV per atom
- Electronic total energy: -5.6328 eV/atom

```
MgSc8Sn2
1.0
4.0806 -7.0788 0.0000
4.0806 7.0788 0.0000
-2.7437 0.0000 4.5931
Mg Sc Sn
1 8 2
direct
0.0000 0.0000 0.0000
0.1015 0.3300 0.6433
0.2124 0.7876 0.0000
0.3300 0.1015 0.6433
0.4125 0.4125 0.2026
0.5875 0.5875 0.7974
0.6700 0.8985 0.3567
0.7876 0.2124 0.0000
0.8985 0.6700 0.3567
0.3059 0.6941 0.5000
0.6941 0.3059 0.5000
```

---

No. 3
Density functional theory data (PBE) for an optimized crystal structure of PrDy5Tm2Sc.

Results
- Space-group type: Cmc2_1, No. 36
- Theoretical density: 7.83 g/cm3
- Fermi-level density of states: 30.17 states/eV/cell
- V: 31.5 Å³ per atom
- ΔE_f: 0.177 eV per atom
- Electronic total energy: -4.6076 eV/atom

```
PrDy5Tm2Sc
1.0
2.7768 -9.8620 0.0000
2.7768 9.8620 0.0000
0.0000 0.0000 10.3470
Pr Dy Tm Sc
2 10 4 2
direct
0.0870 0.9130 0.5000
0.9130 0.0870 0.0000
0.0196 0.9804 0.7872
0.1230 0.8770 0.0693
0.2017 0.7983 0.7547
0.2234 0.7766 0.3700
0.4820 0.5180 0.0683
0.5180 0.4820 0.5683
0.7766 0.2234 0.8700
0.7983 0.2017 0.2547
0.8770 0.1230 0.5693
0.9804 0.0196 0.2872
0.3859 0.6141 0.7837
0.3883 0.6117 0.3623
0.6117 0.3883 0.8623
0.6141 0.3859 0.2837
0.3042 0.6958 0.0630
0.6958 0.3042 0.5630
```

---

No. 4
Density functional theory data (PBE) for an optimized crystal structure of Y2SnCl.

Results
- Space-group type: Fm-3m, No. 225
- Theoretical density: 5.36 g/cm3
- Fermi-level density of states: 3.71 states/eV/cell
- E above lowest polymorph: 0.000 eV/atom
- V: 25.7 Å³ per atom
- Electronic total energy: -5.6041 eV/atom
- Formation energy (no corrections): -0.910 eV per atom

```
Y2SnCl
1.0
0.0000 3.7177 3.7177
3.7177 0.0000 3.7177
3.7177 3.7177 0.0000
Y Sn Cl
2 1 1
direct
0.2500 0.2500 0.2500
0.7500 0.7500 0.7500
0.0000 0.0000 0.0000
0.5000 0.5000 0.5000
```

---

No. 5
Density functional theory data (PBE) for an optimized crystal structure of Y4AlZn2.

Results
- Space-group type: R-3m, No. 166
- Theoretical density: 4.80 g/cm3
- Fermi-level density of states: 8.81 states/eV/cell
- V: 25.4 Å³ per atom
- ΔE_f: -0.228 eV per atom
- Electronic total energy: -4.8204 eV/atom

```
Y4AlZn2
1.0
2.5132 1.4510 8.1254
-2.5132 1.4510 8.1254
0.0000 -2.9020 8.1254
Y Al Zn
4 1 2
direct
0.1192 0.1192 0.1192
0.3716 0.3716 0.3716
0.6284 0.6284 0.6284
0.8808 0.8808 0.8808
0.5000 0.5000 0.5000
0.2460 0.2460 0.2460
0.7540 0.7540 0.7540
```

---

No. 6
Density functional theory data (PBE) for an optimized crystal structure of Sc2TlCl.

Results
- Space-group type: Cmmm, No. 65
- Theoretical density: 5.95 g/cm3
- Fermi-level density of states: 4.70 states/eV/cell
- E above lowest polymorph: 0.132 eV/atom
- V: 23.0 Å³ per atom
- Electronic total energy: -4.7767 eV/atom
- Formation energy (no corrections): -0.558 eV per atom

```
Sc2TlCl
1.0
1.7126 -2.9345 0.0000
1.7126 2.9345 0.0000
0.0000 0.0000 9.1560
Sc Tl Cl
2 1 1
direct
0.0000 0.0000 0.2300
0.0000 0.0000 0.7700
0.5000 0.5000 0.5000
0.5000 0.5000 0.0000
```

---

No. 7
Density functional theory data (PBE) for an optimized crystal structure of Ce2CoMoN5.

Results
- Space-group type: Cmc2_1, No. 36
- Theoretical density: 7.88 g/cm3
- Fermi-level density of states: 7.48 states/eV/cell
- V: 11.8 Å³ per atom
- Electronic total energy: -8.7113 eV/atom
- Formation energy (no corrections): -0.774 eV per atom

```
Ce2CoMoN5
1.0
1.6158 -6.4402 0.0000
1.6158 6.4402 0.0000
0.0000 0.0000 10.2327
Ce Co Mo N
4 2 2 10
direct
0.1058 0.8942 0.5000
0.1434 0.8566 0.1260
0.8566 0.1434 0.6260
0.8942 0.1058 0.0000
0.4694 0.5306 0.2669
0.5306 0.4694 0.7669
0.1975 0.8025 0.8304
0.8025 0.1975 0.3304
0.0509 0.9491 0.8713
0.2843 0.7157 0.4661
0.3253 0.6747 0.1891
0.3664 0.6336 0.8138
0.4878 0.5122 0.5897
0.5122 0.4878 0.0897
0.6336 0.3664 0.3138
0.6747 0.3253 0.6891
0.7157 0.2843 0.9661
0.9491 0.0509 0.3713
```

---

No. 8
Density functional theory data (PBE) for an optimized crystal structure of CeSmBiI.

Results
- Space-group type: F-43m, No. 216
- Theoretical density: 8.62 g/cm3
- Fermi-level density of states: 7.87 states/eV/cell
- V: 30.2 Å³ per atom
- Electronic total energy: -4.7942 eV/atom
- Formation energy (no corrections): -0.773 eV per atom

```
CeSmBiI
1.0
0.0000 3.9221 3.9221
3.9221 0.0000 3.9221
3.9221 3.9221 0.0000
Ce Sm Bi I
1 1 1 1
direct
0.0000 0.0000 0.0000
0.5000 0.5000 0.5000
0.2500 0.2500 0.2500
0.7500 0.7500 0.7500
```

---

No. 9
Density functional theory data (PBE) for an optimized crystal structure of TbInGe2.

Results
- Space-group type: R-3m, No. 166
- Theoretical density: 4.98 g/cm3
- Fermi-level density of states: 3.01 states/eV/cell
- E above lowest polymorph: 0.620 eV/atom
- V: 34.9 Å³ per atom
- ΔE_f: 0.208 eV per atom
- Electronic total energy: -3.9433 eV/atom

```
TbInGe2
1.0
2.3526 1.3583 7.2890
-2.3526 1.3583 7.2890
0.0000 -2.7165 7.2890
Tb In Ge
1 1 2
direct
0.0000 0.0000 0.0000
0.5000 0.5000 0.5000
0.3804 0.3804 0.3804
0.6196 0.6196 0.6196
```

---

No. 10
Density functional theory data (PBE) for an optimized crystal structure of Nd3YHg5.

Results
- Space-group type: P6_3/mcm, No. 193
- Theoretical density: 10.14 g/cm3
- Fermi-level density of states: 18.33 states/eV/cell
- V: 27.7 Å³ per atom
- ΔE_f: -0.435 eV per atom
- Electronic total energy: -2.9097 eV/atom

```
Nd3YHg5
1.0
9.2904 0.0000 0.0000
-4.6452 8.0457 0.0000
0.0000 0.0000 6.6800
Nd Y Hg
6 2 10
direct
0.0000 0.3718 0.2500
0.0000 0.6282 0.7500
0.3718 0.0000 0.2500
0.3718 0.3718 0.7500
0.6282 0.0000 0.7500
0.6282 0.6282 0.2500
0.0000 0.0000 0.0000
0.0000 0.0000 0.5000
0.0000 0.2938 0.7500
0.0000 0.7062 0.2500
0.2938 0.0000 0.7500
0.2938 0.2938 0.2500
0.3333 0.6667 0.0000
0.3333 0.6667 0.5000
0.6667 0.3333 0.0000
0.6667 0.3333 0.5000
0.7062 0.0000 0.2500
0.7062 0.7062 0.7500
```

---

No. 11
Density functional theory data (PBE) for an optimized crystal structure of Sr2LiGe.

Results
- Space-group type: P2_1/m, No. 11
- Theoretical density: 3.36 g/cm3
- Fermi-level density of states: 5.58 states/eV/cell
- V: 31.5 Å³ per atom
- ΔE_f: -0.380 eV per atom
- Electronic total energy: -2.8538 eV/atom

```
Sr2LiGe
1.0
7.0007 0.0000 0.0000
0.0000 4.8266 0.0000
-2.7739 0.0000 7.4498
Sr Li Ge
4 2 2
direct
0.1455 0.2500 0.3908
0.2732 0.2500 0.9345
0.7268 0.7500 0.0655
0.8545 0.7500 0.6092
0.4298 0.7500 0.3340
0.5702 0.2500 0.6660
0.3591 0.7500 0.6725
0.6409 0.2500 0.3275
```

---

No. 12
Density functional theory data (PBE) for an optimized crystal structure of Sc2MoCl.

Results
- Space-group type: P4/mmm, No. 123
- Theoretical density: 4.56 g/cm3
- Fermi-level density of states: 3.22 states/eV/cell
- E above lowest polymorph: 0.093 eV/atom
- V: 20.2 Å³ per atom
- Electronic total energy: -6.7889 eV/atom
- Formation energy (no corrections): -0.454 eV per atom

```
Sc2MoCl
1.0
3.2626 0.0000 0.0000
0.0000 3.2626 0.0000
0.0000 0.0000 7.5782
Sc Mo Cl
2 1 1
direct
0.0000 0.0000 0.2154
0.0000 0.0000 0.7846
0.5000 0.5000 0.0000
0.5000 0.5000 0.5000
```